The following is a PBE calculation of crystalline Be2PbN2 at its relaxed geometry, from Alexandria.

ρ   6.34 g/cm³
Total moment   0.0 μB per cell
Formation energy from raw total energies   0.160 eV/atom
DFT total energy   -27.01 eV for the cell shown

Lattice parameters (Å, degrees): 6.0116 6.0116 6.0116 146.38 146.38 48.28
Last column: nearest neighbours and their distance in Å.
Fractional positions:
Be1 0.2384 0.2384 0.0000  4 N 1.74
Be2 0.7616 0.7616 0.0000  4 N 1.74
Pb1 0.5000 0.5000 0.0000  2 Be 2.87
N1 0.2500 0.7500 0.5000  4 Be 1.74
N2 0.7500 0.2500 0.5000  4 Be 1.74